A geometry-optimized NaMg2Cd8 structure. Source: Alexandria, functional PBE.

The structure in CIF format:
```
data_NaMg2Cd8
_cell_length_a 14.533
_cell_length_b 5.197
_cell_length_c 7.813
_cell_angle_alpha 90.00
_cell_angle_beta 122.12
_cell_angle_gamma 90.00
_space_group_name_H-M_alt 'C 1 2/m 1'
_space_group_IT_number 12
loop_
_space_group_symop_operation_xyz
'x,y,z'
'-x,-y,-z'
'-x,y,-z'
'x,-y,z'
'x+1/2,y+1/2,z'
'-x+1/2,-y+1/2,-z'
'-x+1/2,y+1/2,-z'
'x+1/2,-y+1/2,z'
loop_
_atom_site_label
_atom_site_type_symbol
_atom_site_fract_x
_atom_site_fract_y
_atom_site_fract_z
_atom_site_occupancy
Na1 Na 0.000 0.000 0.000 1
Mg1 Mg 0.224 0.500 0.629 1
Cd1 Cd 0.035 0.500 0.723 1
Cd2 Cd 0.096 0.000 0.469 1
Cd3 Cd 0.145 0.500 0.183 1
Cd4 Cd 0.182 0.000 0.920 1
```

Results
Total magnetic moment = 0.00 μB/f.u.
Formation energy = -37.7 meV per atom
Fermi-level density of states = 0.23 states/eV per atom

---

A geometry-optimized Na3MgCd4 structure. Source: Alexandria, functional PBE.

The structure in CIF format:
```
data_Na3MgCd4
_cell_length_a 3.304
_cell_length_b 7.922
_cell_length_c 8.580
_cell_angle_alpha 117.08
_cell_angle_beta 90.57
_cell_angle_gamma 90.27
_space_group_name_H-M_alt 'P 1'
_space_group_IT_number 1
loop_
_space_group_symop_operation_xyz
'x,y,z'
loop_
_atom_site_label
_atom_site_type_symbol
_atom_site_fract_x
_atom_site_fract_y
_atom_site_fract_z
_atom_site_occupancy
Na1 Na 0.000 0.000 0.000 1
Na2 Na 0.002 0.773 0.543 1
Na3 Na 0.004 0.545 0.085 1
Mg1 Mg 0.002 0.273 0.543 1
Cd1 Cd 0.501 0.186 0.793 1
Cd2 Cd 0.501 0.937 0.293 1
Cd3 Cd 0.502 0.359 0.292 1
Cd4 Cd 0.502 0.609 0.793 1
```

Results
Excess energy over the best structure of this formula in the dataset = 0.0 meV per atom
Total magnetic moment = 0.00 μB/f.u.
Formation energy = -79.7 meV per atom
Fermi-level density of states = 0.31 states/eV per atom

---

A geometry-optimized NaMgCd2 structure. Source: Alexandria, functional PBE.

The structure in CIF format:
```
data_NaMgCd2
_cell_length_a 5.417
_cell_length_b 5.417
_cell_length_c 3.194
_cell_angle_alpha 90.00
_cell_angle_beta 90.00
_cell_angle_gamma 90.00
_space_group_name_H-M_alt 'P 4/m m m'
_space_group_IT_number 123
_space_group_name_Hall '-P 4 2'
loop_
_atom_site_label
_atom_site_type_symbol
_atom_site_fract_x
_atom_site_fract_y
_atom_site_fract_z
_atom_site_occupancy
Na1 Na 0.000 0.000 0.000 1
Mg1 Mg 0.500 0.500 0.000 1
Cd1 Cd 0.000 0.500 0.500 1
```

Results
Total magnetic moment = 0.00 μB/f.u.
Formation energy = -62.5 meV per atom
Fermi-level density of states = 0.35 states/eV per atom

---

A geometry-optimized Na2Mg5Cd3 structure. Source: Alexandria, functional PBE.

The structure in CIF format:
```
data_Na2Mg5Cd3
_cell_length_a 10.787
_cell_length_b 14.490
_cell_length_c 6.136
_cell_angle_alpha 90.00
_cell_angle_beta 94.96
_cell_angle_gamma 90.00
_space_group_name_H-M_alt 'C 1 2/c 1'
_space_group_IT_number 15
loop_
_space_group_symop_operation_xyz
'x,y,z'
'-x,-y,-z'
'-x,y,-z+1/2'
'x,-y,z+1/2'
'x+1/2,y+1/2,z'
'-x+1/2,-y+1/2,-z'
'-x+1/2,y+1/2,-z+1/2'
'x+1/2,-y+1/2,z+1/2'
loop_
_atom_site_label
_atom_site_type_symbol
_atom_site_fract_x
_atom_site_fract_y
_atom_site_fract_z
_atom_site_occupancy
Na1 Na 0.125 0.247 0.120 1
Mg1 Mg 0.000 0.034 0.250 1
Mg2 Mg 0.128 0.349 0.607 1
Mg3 Mg 0.244 0.463 0.007 1
Cd1 Cd 0.000 0.468 0.250 1
Cd2 Cd 0.123 0.146 0.624 1
```

Results
Total magnetic moment = 0.00 μB/f.u.
Formation energy = -40.5 meV per atom
Fermi-level density of states = 0.24 states/eV per atom

---

A geometry-optimized Na2Mg2Cd structure. Source: Alexandria, functional PBE.

The structure in CIF format:
```
data_Na2Mg2Cd
_cell_length_a 7.450
_cell_length_b 7.450
_cell_length_c 5.271
_cell_angle_alpha 90.00
_cell_angle_beta 90.00
_cell_angle_gamma 90.00
_space_group_name_H-M_alt 'P 4/m b m'
_space_group_IT_number 127
_space_group_name_Hall '-P 4 2ab'
loop_
_atom_site_label
_atom_site_type_symbol
_atom_site_fract_x
_atom_site_fract_y
_atom_site_fract_z
_atom_site_occupancy
Na1 Na 0.170 0.330 0.000 1
Mg1 Mg 0.142 0.642 0.500 1
Cd1 Cd 0.000 0.000 0.500 1
```

Results
Excess energy over the best structure of this formula in the dataset = 0.0 meV per atom
Total magnetic moment = 0.00 μB/f.u.
Formation energy = 71.5 meV per atom
Fermi-level density of states = 0.32 states/eV per atom

---

A geometry-optimized Na3MgCd12 structure. Source: Alexandria, functional PBE.

The structure in CIF format:
```
data_Na3MgCd12
_cell_length_a 4.567
_cell_length_b 4.567
_cell_length_c 17.870
_cell_angle_alpha 90.00
_cell_angle_beta 90.00
_cell_angle_gamma 90.00
_space_group_name_H-M_alt 'P 4/m m m'
_space_group_IT_number 123
_space_group_name_Hall '-P 4 2'
loop_
_atom_site_label
_atom_site_type_symbol
_atom_site_fract_x
_atom_site_fract_y
_atom_site_fract_z
_atom_site_occupancy
Na1 Na 0.000 0.000 0.000 1
Na2 Na 0.000 0.000 0.255 1
Mg1 Mg 0.000 0.000 0.500 1
Cd1 Cd 0.000 0.500 0.128 1
Cd2 Cd 0.000 0.500 0.381 1
Cd3 Cd 0.500 0.500 0.000 1
Cd4 Cd 0.500 0.500 0.257 1
Cd5 Cd 0.500 0.500 0.500 1
```

Results
Total magnetic moment = 0.00 μB/f.u.
Formation energy = -61.4 meV per atom
Fermi-level density of states = 0.49 states/eV per atom